{"formula": "Hf2CoAu", "functional": "GGA-PBE", "state": "relaxed", "lattice": [[0.000, 3.291, 3.291], [3.291, 0.000, 3.291], [3.291, 3.291, 0.000]], "species": ["Hf", "Hf", "Co", "Au"], "fractional_positions": [[0.250, 0.250, 0.250], [0.750, 0.750, 0.750], [0.000, 0.000, 0.000], [0.500, 0.500, 0.500]], "relative_energy_mev_per_atom": 145, "magnetic_moment_mub_per_cell": 0.01, "final_energy_ev_per_cell": -31.54, "dos_at_fermi_per_ev_atom": 0.895}



{"formula": "Ce3NdTh4P8", "functional": "GGA-PBE", "state": "relaxed", "lattice": [[4.132, 2.386, 6.733], [-4.132, 2.386, 6.733], [0.000, -4.771, 6.733]], "species": ["Ce", "Ce", "Ce", "Nd", "Th", "Th", "Th", "Th", "P", "P", "P", "P", "P", "P", "P", "P"], "fractional_positions": [[0.000, 0.500, 0.500], [0.500, 0.000, 0.500], [0.500, 0.500, 0.000], [0.000, 0.000, 0.000], [0.000, 0.000, 0.500], [0.000, 0.500, 0.000], [0.500, 0.000, 0.000], [0.500, 0.500, 0.500], [0.251, 0.251, 0.251], [0.251, 0.251, 0.747], [0.251, 0.747, 0.251], [0.253, 0.749, 0.749], [0.747, 0.251, 0.251], [0.749, 0.253, 0.749], [0.749, 0.749, 0.253], [0.749, 0.749, 0.749]], "magnetic_moment_mub_per_cell": 1.34, "final_energy_ev_per_cell": -120.26, "dos_at_fermi_per_ev_atom": 1.112}



{"formula": "RbPuUO6", "functional": "GGA-PBE", "state": "relaxed", "lattice": [[-3.901, 3.992, 5.604], [3.901, -3.992, 5.604], [3.901, 3.992, -5.604]], "species": ["Rb", "Rb", "Pu", "Pu", "U", "U", "O", "O", "O", "O", "O", "O", "O", "O", "O", "O", "O", "O"], "fractional_positions": [[0.360, 0.110, 0.250], [0.640, 0.890, 0.750], [0.000, 0.000, 0.500], [0.000, 0.500, 0.000], [0.000, 0.500, 0.500], [0.500, 0.500, 0.000], [0.065, 0.432, 0.252], [0.065, 0.812, 0.632], [0.068, 0.818, 0.250], [0.314, 0.564, 0.750], [0.320, 0.188, 0.752], [0.320, 0.568, 0.132], [0.680, 0.432, 0.868], [0.680, 0.812, 0.248], [0.686, 0.436, 0.250], [0.932, 0.182, 0.750], [0.935, 0.188, 0.368], [0.935, 0.568, 0.748]], "e_form_raw_mev_per_atom": -2805, "magnetic_moment_mub_per_cell": 6.00, "final_energy_ev_per_cell": -163.17, "dos_at_fermi_per_ev_atom": 0.797}